Entry 1:
Computed, not measured: a relaxed structure of CrSb3S8 at the PBE level of DFT.

## Properties
As for the symmetry: No. 12. The uncorrected formation energy comes out at -0.278 eV per atom. The density of states at the Fermi level comes out at 2.39 states/eV per cell.

```
CrSb3S8
1.0
6.342 -3.665 0.000
6.342 3.665 0.000
-4.244 0.000 6.668
Cr Sb S
1 3 8
direct
0.000 0.000 0.000
0.000 0.500 0.000
0.500 0.000 0.000
0.500 0.500 0.000
0.221 0.221 0.207
0.221 0.765 0.206
0.235 0.779 0.794
0.254 0.254 0.764
0.746 0.746 0.236
0.765 0.221 0.206
0.779 0.235 0.794
0.779 0.779 0.793
```

=====

Entry 2:
Computed, not measured: a relaxed structure of CrSbS3 at the PBE level of DFT.

## Properties
As for the symmetry: No. 221. The uncorrected formation energy comes out at 0.614 eV per atom. The density of states at the Fermi level comes out at 6.80 states/eV per cell. The energy above the lowest structure with this stoichiometry comes out at 1.099 eV per atom.

```
CrSbS3
1.0
4.998 0.000 0.000
0.000 4.998 0.000
0.000 0.000 4.998
Cr Sb S
1 1 3
direct
0.000 0.000 0.000
0.500 0.500 0.500
0.000 0.500 0.500
0.500 0.000 0.500
0.500 0.500 0.000
```